[1]
Here is crystalline HoCdNiRh at its relaxed geometry from Alexandria. Energies are from PBE-GGA.

VASP energy (eV for the cell shown): -81.063
ΔH_f (0 K) (eV per atom): -0.410
Theoretical density (kg/m³): 10294

Cell lengths 6.567, 6.567, 6.567 Å; angles 90.00, 90.00, 90.00 degrees
Space group F-43m (No. 216)
Asymmetric unit:
Ho1 0.000 0.000 0.000 x4
Cd1 0.000 0.000 0.500 x4
Ni1 0.250 0.250 0.750 x4
Rh1 0.250 0.250 0.250 x4

---

[2]
Here is crystalline HoScCdNi at its relaxed geometry from Alexandria. Energies are from PBE-GGA.

VASP energy (eV for the cell shown): -19.143
Energy relative to the lowest polymorph listed for this composition (meV per atom): 0
ΔH_f (0 K) (eV per atom): -0.384
Theoretical density (kg/m³): 7664

Cell lengths 3.341, 3.341, 7.398 Å; angles 90.00, 90.00, 90.00 degrees
Space group P4mm (No. 99)
Asymmetric unit:
Ho1 0.000 0.000 0.000 x1
Sc1 0.000 0.000 0.577 x1
Cd1 0.500 0.500 0.308 x1
Ni1 0.500 0.500 0.763 x1

---

[3]
Here is crystalline HoScCdNi at its relaxed geometry from Alexandria. Energies are from PBE-GGA.

VASP energy (eV for the cell shown): -74.606
Energy relative to the lowest polymorph listed for this composition (meV per atom): 123
ΔH_f (0 K) (eV per atom): -0.261
Theoretical density (kg/m³): 7588

Cell lengths 6.935, 6.935, 6.935 Å; angles 90.00, 90.00, 90.00 degrees
Space group F-43m (No. 216)
Asymmetric unit:
Ho1 0.000 0.000 0.000 x4
Sc1 0.000 0.000 0.500 x4
Cd1 0.250 0.250 0.750 x4
Ni1 0.250 0.250 0.250 x4